Entry 1:
Compound: DyU2Ru2
Source: the Alexandria database
Functional: GGA-PBE
Structure: optimized geometry

Unit cell a=8.010 b=8.010 c=5.926 alpha=106.70 beta=106.70 gamma=34.41
Sites, in units of the cell vectors:
Dy 0.213 0.787 0.750
Dy 0.787 0.213 0.250
U 0.077 0.334 0.650
U 0.334 0.077 0.150
U 0.666 0.923 0.850
U 0.923 0.666 0.350
Ru 0.192 0.574 0.084
Ru 0.426 0.808 0.416
Ru 0.574 0.192 0.584
Ru 0.808 0.426 0.916

Formation energy from the elements, eV per atom: -0.204
Magnetic moment, μB/cell: 0.00
Calculated total energy, eV/atom: -9.350
Space group: C2/c

***

Entry 2:
Compound: LiSbIrRh
Source: the Alexandria database
Functional: GGA-PBE
Structure: optimized geometry

Unit cell a=4.382 b=4.382 c=4.382 alpha=60.00 beta=60.00 gamma=60.00
Sites, in units of the cell vectors:
Li 0.000 0.000 0.000
Sb 0.500 0.500 0.500
Ir 0.750 0.750 0.750
Rh 0.250 0.250 0.250

Magnetic moment, μB/cell: 0.00
Calculated total energy, eV/atom: -5.986
Formation energy from raw total energies, kJ/mol of atoms: -40.89
Space group: F-43m

***

Entry 3:
Compound: LiMo2Br
Source: the Alexandria database
Functional: GGA-PBE
Structure: optimized geometry

Unit cell a=3.319 b=3.319 c=7.509 alpha=90.00 beta=90.00 gamma=90.00
Sites, in units of the cell vectors:
Li 0.000 0.000 0.000
Mo 0.000 0.000 0.390
Mo 0.500 0.500 0.248
Br 0.500 0.500 0.883

Magnetic moment, μB/cell: 0.00
Energy above the lowest structure with this stoichiometry, eV per formula unit: 0.13
Calculated total energy, eV/atom: -6.209
Formation energy from raw total energies, kJ/mol of atoms: 9.92
Space group: P4mm

***

Entry 4:
Compound: Sc2TcMo
Source: the Alexandria database
Functional: GGA-PBE
Structure: optimized geometry

Unit cell a=5.378 b=5.378 c=2.806 alpha=90.00 beta=90.00 gamma=118.51
Sites, in units of the cell vectors:
Sc 0.000 0.500 0.000
Sc 0.500 0.000 0.000
Tc 0.000 0.000 0.500
Mo 0.500 0.500 0.500

Formation energy from the elements, eV per atom: 0.190
Magnetic moment, μB/cell: 0.00
Energy above the lowest structure with this stoichiometry, eV per formula unit: 1.25
Calculated total energy, eV/atom: -8.275
Space group: Cmmm

***

Entry 5:
Compound: EuTmCuNi
Source: the Alexandria database
Functional: GGA-PBE
Structure: optimized geometry

Unit cell a=4.883 b=4.883 c=4.883 alpha=60.00 beta=60.00 gamma=60.00
Sites, in units of the cell vectors:
Eu 0.000 0.000 0.000
Tm 0.500 0.500 0.500
Cu 0.750 0.750 0.750
Ni 0.250 0.250 0.250

Formation energy from the elements, eV per atom: -0.160
Magnetic moment, μB/cell: 6.98
Calculated total energy, eV/atom: -6.316
Space group: F-43m

***

Entry 6:
Compound: LiCdAg4
Source: the Alexandria database
Functional: GGA-PBE
Structure: optimized geometry

Unit cell a=5.534 b=5.534 c=5.534 alpha=60.00 beta=60.00 gamma=60.00
Sites, in units of the cell vectors:
Li 0.000 0.000 0.000
Cd 0.250 0.250 0.250
Ag 0.125 0.625 0.625
Ag 0.625 0.125 0.625
Ag 0.625 0.625 0.125
Ag 0.625 0.625 0.625

Formation energy from the elements, eV per atom: -0.030
Magnetic moment, μB/cell: 0.00
Energy above the lowest structure with this stoichiometry, eV per formula unit: 0.28
Calculated total energy, eV/atom: -2.402
Space group: F-43m